PmNdSiAg GGA-PBE optimized geometry; SG = F-43m (216); crystal system = cubic; uncorrected formation energy = -40 kJ per mole of atoms
1.0
-3.397 -1.641 3.585
-1.354 -5.021 0.195
1.620 -2.980 3.947
Si Pm Nd Ag
1 1 1 1
Direct
0.750 0.750 0.750 Si
0.000 0.000 0.000 Pm
0.500 0.500 0.500 Nd
0.250 0.250 0.250 Ag

Er5PaRh6 GGA-PBE optimized geometry; ΔH_f (0 K) = -0.90 eV per atom; SG = P2/m (10); crystal system = monoclinic
1.0
-3.829 1.143 2.676
-4.185 -2.268 -5.018
-1.896 -5.988 4.288
Er Rh Pa
5 6 1
Direct
0.671 0.000 0.658 Er
0.332 0.500 0.336 Er
0.668 0.500 0.664 Er
0.000 0.500 0.000 Er
0.329 0.000 0.342 Er
0.844 0.757 0.314 Rh
0.500 0.765 0.000 Rh
0.500 0.235 0.000 Rh
0.156 0.757 0.686 Rh
0.156 0.243 0.686 Rh
0.844 0.243 0.314 Rh
0.000 0.000 0.000 Pa

RbBaSb4 GGA-PBE optimized geometry; SG = F-43m (216); crystal system = cubic; uncorrected formation energy = -38 kJ per mole of atoms
1.0
-0.208 2.997 -5.892
0.514 -3.568 -5.544
-5.263 -0.786 -3.926
Ba Rb Sb
1 1 4
Direct
0.250 0.250 0.250 Ba
0.000 0.000 0.000 Rb
0.125 0.625 0.625 Sb
0.625 0.125 0.625 Sb
0.625 0.625 0.625 Sb
0.625 0.625 0.125 Sb

MnAlCu2 GGA-PBE optimized geometry; ΔH_f (0 K) = -0.13 eV per atom; SG = Fm-3m (225); crystal system = cubic
1.0
-2.019 -3.629 0.595
1.711 -3.594 -1.325
1.458 -2.780 2.783
Cu Mn Al
2 1 1
Direct
0.750 0.750 0.750 Cu
0.250 0.250 0.250 Cu
0.500 0.500 0.500 Mn
0.000 0.000 0.000 Al

Ni2MoPb GGA-PBE optimized geometry; ΔH_f (0 K) = 0.47 eV per atom; SG = Cmmm (65); crystal system = orthorhombic
1.0
-0.087 4.079 2.193
-3.924 -0.041 -2.461
-1.414 -1.259 2.281
Ni Mo Pb
2 1 1
Direct
0.500 0.500 0.000 Ni
0.000 0.000 0.000 Ni
0.000 0.500 0.500 Mo
0.500 0.000 0.500 Pb

Li3MgAl12 GGA-PBE optimized geometry; ΔH_f (0 K) = -0.06 eV per atom; SG = P4/mmm (123); crystal system = tetragonal
1.0
-2.022 3.476 -0.766
-2.757 -2.087 -2.192
-8.757 -2.207 13.112
Al Li Mg
12 3 1
Direct
0.500 0.000 0.377 Al
0.500 0.500 0.500 Al
0.500 0.500 0.252 Al
0.500 0.000 0.623 Al
0.000 0.500 0.870 Al
0.500 0.000 0.870 Al
0.000 0.500 0.130 Al
0.500 0.000 0.130 Al
0.000 0.500 0.377 Al
0.000 0.500 0.623 Al
0.500 0.500 0.748 Al
0.500 0.500 0.000 Al
0.000 0.000 0.500 Li
0.000 0.000 0.253 Li
0.000 0.000 0.747 Li
0.000 0.000 0.000 Mg